A plane-wave DFT calculation with PBEsol was carried out for a relaxed CuRe2Se crystal.

Output
N(E_F) (states/eV per cell): 3.278
Energy relative to the elements, uncorrected (eV per formula unit): 2.9

a b c (Å): 2.7763 4.2979 4.9169
angles (deg): 90.00 94.11 90.00
Closest atoms and distances in Å follow each position.
Fractional positions:
Cu  0.0000  0.0000  0.0000  4 Re 2.62, 4 Se 2.74-2.91, 2 Cu 2.78
Re  0.3091  0.5000  0.7630  3 Re 2.49-2.78, 2 Se 2.58, 2 Cu 2.62
Re  0.6909  0.5000  0.2370  3 Re 2.49-2.78, 2 Se 2.58, 2 Cu 2.62
Se  0.5000  0.0000  0.5000  4 Re 2.58, 2 Cu 2.74, 2 Se 2.78



A plane-wave DFT calculation with PBEsol was carried out for a relaxed CuReSi crystal.

Output
Offset from the most stable computed form (eV/atom): 0.129
N(E_F) (states/eV per cell): 5.696
Energy relative to the elements, uncorrected (eV per formula unit): 0.4

a b c (Å): 2.7084 3.3341 8.4582
angles (deg): 90.00 90.00 90.00
Closest atoms and distances in Å follow each position.
Fractional positions:
Cu  0.0000  0.0000  0.0000  4 Si 2.49, 5 Re 2.65-2.68, 2 Cu 2.71
Cu  0.5000  0.5000  0.5000  4 Si 2.49, 5 Re 2.65-2.68, 2 Cu 2.71
Re  0.0000  0.0000  0.3167  5 Si 2.58-2.81, 5 Cu 2.65-2.68, 2 Re 2.71
Re  0.5000  0.5000  0.8167  5 Si 2.58-2.81, 5 Cu 2.65-2.68, 2 Re 2.71
Si  0.0000  0.0000  0.6486  4 Cu 2.49, 4 Re 2.58, 2 Si 2.71
Si  0.5000  0.5000  0.1486  4 Cu 2.49, 4 Re 2.58, 2 Si 2.71